[1]
{
  "formula": "Pa2HgRh",
  "functional": "PBE",
  "state": "relaxed",
  "m_tot_mub_per_atom": 0.00,
  "e_form_mev_per_atom": -221,
  "mass_density_g_cm3": 13.80,
  "relative_energy_ev_per_fu": 0.00,
  "space_group": "P4/mmm (123)",
  "energy_ev_per_atom": -6.882,
  "lattice": [[3.5936, 0.0000, 0.0000], [0.0000, 3.5936, 0.0000], [0.0000, 0.0000, 7.1341]],
  "species": ["Pa", "Pa", "Hg", "Rh"],
  "fractional_positions": [[0.0000, 0.0000, 0.2040], [0.0000, 0.0000, 0.7960], [0.5000, 0.5000, 0.5000], [0.5000, 0.5000, 0.0000]]
}

---

[2]
{
  "formula": "CaY2Ta",
  "functional": "PBE",
  "state": "relaxed",
  "m_tot_mub_per_atom": 0.00,
  "e_form_mev_per_atom": 445,
  "mass_density_g_cm3": 5.87,
  "relative_energy_ev_per_fu": 0.62,
  "space_group": "C2/m (12)",
  "energy_ev_per_atom": -6.251,
  "lattice": [[5.3903, -1.6323, 0.0000], [5.3903, 1.6323, 0.0000], [-0.8550, 0.0000, 6.4059]],
  "species": ["Ca", "Y", "Y", "Ta"],
  "fractional_positions": [[0.0000, 0.0000, 0.0000], [0.2363, 0.2363, 0.7165], [0.7637, 0.7637, 0.2835], [0.5000, 0.5000, 0.5000]]
}

---

[3]
{
  "formula": "Ti3Pd5",
  "functional": "PBE",
  "state": "relaxed",
  "m_tot_mub_per_atom": 0.00,
  "e_form_mev_per_atom": -610,
  "mass_density_g_cm3": 8.95,
  "relative_energy_ev_per_fu": 0.00,
  "space_group": "P4/mmm (123)",
  "energy_ev_per_atom": -6.816,
  "lattice": [[3.2960, 0.0000, 0.0000], [0.0000, 3.2960, 0.0000], [0.0000, 0.0000, 11.5436]],
  "species": ["Ti", "Ti", "Ti", "Pd", "Pd", "Pd", "Pd", "Pd"],
  "fractional_positions": [[0.0000, 0.0000, 0.0000], [0.5000, 0.5000, 0.3640], [0.5000, 0.5000, 0.6360], [0.0000, 0.0000, 0.2587], [0.0000, 0.0000, 0.5000], [0.0000, 0.0000, 0.7413], [0.5000, 0.5000, 0.1193], [0.5000, 0.5000, 0.8807]]
}

---

[4]
{
  "formula": "Ac2BiAs2O2",
  "functional": "PBE",
  "state": "relaxed",
  "m_tot_mub_per_atom": 0.00,
  "mass_density_g_cm3": 7.13,
  "space_group": "P-3m1 (164)",
  "energy_ev_per_atom": -5.948,
  "lattice": [[4.0237, 0.0000, 0.0000], [-2.0118, 3.4846, 0.0000], [0.0000, 0.0000, 14.0304]],
  "species": ["Ac", "Ac", "Bi", "As", "As", "O", "O"],
  "fractional_positions": [[0.3333, 0.6667, 0.1192], [0.6667, 0.3333, 0.8808], [0.0000, 0.0000, 0.5000], [0.0000, 0.0000, 0.2938], [0.0000, 0.0000, 0.7062], [0.3333, 0.6667, 0.9329], [0.6667, 0.3333, 0.0671]]
}